No. 1
# TaTcNi2 PBE-GGA optimized geometry
data_TaTcNi2
_symmetry_space_group_name_H-M 'P 4 m m'
_symmetry_Int_Tables_number 99
_symmetry_space_group_name_Hall 'P 4 -2'
_cell_length_a 2.705
_cell_length_b 2.705
_cell_length_c 7.455
_cell_angle_alpha 90.00
_cell_angle_beta 90.00
_cell_angle_gamma 90.00
loop_
_atom_site_label
_atom_site_type_symbol
_atom_site_fract_x
_atom_site_fract_y
_atom_site_fract_z
Ta1 Ta 0.000 0.000 0.000
Tc1 Tc 0.500 0.500 0.304
Ni1 Ni 0.000 0.000 0.531
Ni2 Ni 0.500 0.500 0.753
# Formation enthalpy at 0 K   -0.034 eV/atom
# Distance to the lowest polymorph of the same formula   0.73 eV/f.u.
# V   13.640 Å³/atom

=====

No. 2
# CaTc2P PBE-GGA optimized geometry
data_CaTc2P
_symmetry_space_group_name_H-M 'I -4 2 d'
_symmetry_Int_Tables_number 122
_symmetry_space_group_name_Hall 'I -4 2bw'
_cell_length_a 4.604
_cell_length_b 4.604
_cell_length_c 16.751
_cell_angle_alpha 90.00
_cell_angle_beta 90.00
_cell_angle_gamma 90.00
loop_
_atom_site_label
_atom_site_type_symbol
_atom_site_fract_x
_atom_site_fract_y
_atom_site_fract_z
Ca1 Ca 0.000 0.000 0.000
Tc1 Tc 0.050 0.750 0.625
P1 P 0.000 0.000 0.500
# Formation enthalpy at 0 K   0.227 eV/atom
# V   22.194 Å³/atom

=====

No. 3
# TbY2Ho4Er2 PBE-GGA optimized geometry
data_TbY2Ho4Er2
_symmetry_space_group_name_H-M 'P -1'
_symmetry_Int_Tables_number 2
_symmetry_space_group_name_Hall '-P 1'
_cell_length_a 5.991
_cell_length_b 6.619
_cell_length_c 8.502
_cell_angle_alpha 79.58
_cell_angle_beta 70.32
_cell_angle_gamma 63.81
loop_
_atom_site_label
_atom_site_type_symbol
_atom_site_fract_x
_atom_site_fract_y
_atom_site_fract_z
Tb1 Tb 0.000 0.000 0.000
Y1 Y 0.270 0.672 0.659
Ho1 Ho 0.269 0.419 0.116
Ho2 Ho 0.375 0.874 0.241
Er1 Er 0.182 0.227 0.557
# Formation enthalpy at 0 K   0.089 eV/atom
# V   31.627 Å³/atom

=====

No. 4
# DyTmSc2P4 PBE-GGA optimized geometry
data_DyTmSc2P4
_symmetry_space_group_name_H-M 'P 1 2/m 1'
_symmetry_Int_Tables_number 10
_symmetry_space_group_name_Hall '-P 2y'
_cell_length_a 6.691
_cell_length_b 3.873
_cell_length_c 6.705
_cell_angle_alpha 90.00
_cell_angle_beta 109.52
_cell_angle_gamma 90.00
loop_
_atom_site_label
_atom_site_type_symbol
_atom_site_fract_x
_atom_site_fract_y
_atom_site_fract_z
Dy1 Dy 0.000 0.000 0.000
Tm1 Tm 0.000 0.500 0.500
Sc1 Sc 0.500 0.000 0.500
Sc2 Sc 0.500 0.500 0.000
P1 P 0.263 0.000 0.753
P2 P 0.264 0.500 0.256
# Formation enthalpy at 0 K   -1.538 eV/atom
# V   20.471 Å³/atom

=====

No. 5
# PaOsC PBE-GGA optimized geometry
data_PaOsC
_symmetry_space_group_name_H-M 'P n m a'
_symmetry_Int_Tables_number 62
_symmetry_space_group_name_Hall '-P 2ac 2n'
_cell_length_a 7.279
_cell_length_b 4.379
_cell_length_c 6.816
_cell_angle_alpha 90.00
_cell_angle_beta 90.00
_cell_angle_gamma 90.00
loop_
_atom_site_label
_atom_site_type_symbol
_atom_site_fract_x
_atom_site_fract_y
_atom_site_fract_z
Pa1 Pa 0.143 0.250 0.146
Os1 Os 0.068 0.250 0.539
C1 C 0.160 0.750 0.989
# Formation enthalpy at 0 K   -0.007 eV/atom
# Distance to the lowest polymorph of the same formula   0.00 eV/f.u.
# V   18.105 Å³/atom

=====

No. 6
# Y2C PBE-GGA optimized geometry
data_Y2C
_symmetry_space_group_name_H-M 'I 4/m m m'
_symmetry_Int_Tables_number 139
_symmetry_space_group_name_Hall '-I 4 2'
_cell_length_a 3.185
_cell_length_b 3.185
_cell_length_c 12.168
_cell_angle_alpha 90.00
_cell_angle_beta 90.00
_cell_angle_gamma 90.00
loop_
_atom_site_label
_atom_site_type_symbol
_atom_site_fract_x
_atom_site_fract_y
_atom_site_fract_z
Y1 Y 0.000 0.000 0.115
C1 C 0.000 0.000 0.500
# Formation enthalpy at 0 K   0.276 eV/atom
# V   20.574 Å³/atom

=====

No. 7
# Sr2AcAlSe5 PBE-GGA optimized geometry
data_Sr2AcAlSe5
_symmetry_space_group_name_H-M 'C m c 21'
_symmetry_Int_Tables_number 36
_symmetry_space_group_name_Hall 'C 2c -2'
_cell_length_a 4.234
_cell_length_b 19.676
_cell_length_c 12.922
_cell_angle_alpha 90.00
_cell_angle_beta 90.00
_cell_angle_gamma 90.00
loop_
_atom_site_label
_atom_site_type_symbol
_atom_site_fract_x
_atom_site_fract_y
_atom_site_fract_z
Sr1 Sr 0.000 0.108 0.000
Sr2 Sr 0.000 0.115 0.652
Ac1 Ac 0.000 0.205 0.348
Al1 Al 0.000 0.446 0.740
Se1 Se 0.000 0.037 0.343
Se2 Se 0.000 0.300 0.014
Se3 Se 0.000 0.329 0.676
Se4 Se 0.000 0.359 0.330
Se5 Se 0.000 0.495 0.082
# ΔE_f (raw)   -1.69 eV per atom
# V   29.904 Å³/atom

=====

No. 8
# Sm2AlSnGe PBE-GGA optimized geometry
data_Sm2AlSnGe
_symmetry_space_group_name_H-M 'P 1 21/m 1'
_symmetry_Int_Tables_number 11
_symmetry_space_group_name_Hall '-P 2yb'
_cell_length_a 6.427
_cell_length_b 4.350
_cell_length_c 8.930
_cell_angle_alpha 90.00
_cell_angle_beta 91.22
_cell_angle_gamma 90.00
loop_
_atom_site_label
_atom_site_type_symbol
_atom_site_fract_x
_atom_site_fract_y
_atom_site_fract_z
Sm1 Sm 0.232 0.250 0.465
Sm2 Sm 0.248 0.250 0.029
Al1 Al 0.450 0.750 0.252
Sn1 Sn 0.276 0.750 0.743
Ge1 Ge 0.061 0.750 0.243
# Formation enthalpy at 0 K   -0.617 eV/atom
# V   24.959 Å³/atom

=====

No. 9
# MnAgBr2 PBE-GGA optimized geometry
data_MnAgBr2
_symmetry_space_group_name_H-M 'C 1 m 1'
_symmetry_Int_Tables_number 8
_symmetry_space_group_name_Hall 'C -2y'
_cell_length_a 11.706
_cell_length_b 3.513
_cell_length_c 6.093
_cell_angle_alpha 90.00
_cell_angle_beta 102.12
_cell_angle_gamma 90.00
loop_
_atom_site_label
_atom_site_type_symbol
_atom_site_fract_x
_atom_site_fract_y
_atom_site_fract_z
Mn1 Mn 0.000 0.000 0.000
Ag1 Ag 0.127 0.500 0.773
Br1 Br 0.096 0.500 0.296
Br2 Br 0.341 0.000 0.818
# ΔE_f (raw)   -0.21 eV per atom
# Distance to the lowest polymorph of the same formula   0.11 eV/f.u.
# V   30.623 Å³/atom

=====

No. 10
# YFe2Ru PBE-GGA optimized geometry
data_YFe2Ru
_symmetry_space_group_name_H-M 'P 4/m m m'
_symmetry_Int_Tables_number 123
_symmetry_space_group_name_Hall '-P 4 2'
_cell_length_a 3.152
_cell_length_b 3.152
_cell_length_c 6.576
_cell_angle_alpha 90.00
_cell_angle_beta 90.00
_cell_angle_gamma 90.00
loop_
_atom_site_label
_atom_site_type_symbol
_atom_site_fract_x
_atom_site_fract_y
_atom_site_fract_z
Y1 Y 0.000 0.000 0.000
Fe1 Fe 0.500 0.500 0.304
Ru1 Ru 0.000 0.000 0.500
# Formation enthalpy at 0 K   0.217 eV/atom
# V   16.329 Å³/atom

=====

No. 11
# Er2H3Au PBE-GGA optimized geometry
data_Er2H3Au
_symmetry_space_group_name_H-M 'C 1 2/m 1'
_symmetry_Int_Tables_number 12
_symmetry_space_group_name_Hall '-C 2y'
_cell_length_a 14.099
_cell_length_b 3.616
_cell_length_c 7.039
_cell_angle_alpha 90.00
_cell_angle_beta 112.29
_cell_angle_gamma 90.00
loop_
_atom_site_label
_atom_site_type_symbol
_atom_site_fract_x
_atom_site_fract_y
_atom_site_fract_z
Er1 Er 0.033 0.000 0.268
Er2 Er 0.199 0.500 0.680
H1 H 0.063 0.500 0.421
H2 H 0.092 0.000 0.622
H3 H 0.195 0.000 0.479
Au1 Au 0.130 0.500 0.048
# V   13.834 Å³/atom

=====

No. 12
# KSc2Tl PBE-GGA optimized geometry
data_KSc2Tl
_symmetry_space_group_name_H-M 'I -4 2 d'
_symmetry_Int_Tables_number 122
_symmetry_space_group_name_Hall 'I -4 2bw'
_cell_length_a 4.616
_cell_length_b 4.616
_cell_length_c 22.776
_cell_angle_alpha 90.00
_cell_angle_beta 90.00
_cell_angle_gamma 90.00
loop_
_atom_site_label
_atom_site_type_symbol
_atom_site_fract_x
_atom_site_fract_y
_atom_site_fract_z
K1 K 0.000 0.000 0.000
Sc1 Sc 0.218 0.250 0.625
Tl1 Tl 0.000 0.000 0.500
# Formation enthalpy at 0 K   0.513 eV/atom
# Distance to the lowest polymorph of the same formula   1.64 eV/f.u.
# V   30.325 Å³/atom

=====

| no. | final energy (eV/atom) |
| --- | --- |
| 1 | -8.480 |
| 2 | -6.809 |
| 3 | -4.911 |
| 4 | -6.960 |
| 5 | -9.990 |
| 6 | -7.108 |
| 7 | -4.874 |
| 8 | -4.977 |
| 9 | -4.053 |
| 10 | -7.950 |
| 11 | -4.403 |
| 12 | -3.519 |